# 1
A plane-wave DFT calculation with PBE-GGA was carried out for a geometry-optimized PrReAgO6 structure.

Formation energy without anion corrections: -14.52 eV/f.u.
Space-group type: P1, No. 1
Volume: 122 Å³ per cell

```
9
Lattice="5.386 0.184 0.080 2.831 5.201 0.563 0.049 0.481 4.480" Properties=species:S:1:pos:R:3 pbc="T T T"
Pr 5.375 3.858 3.538
Re 2.699 2.015 2.249
Ag 8.039 5.146 0.670
O 6.627 2.585 1.318
O 1.804 0.865 3.434
O 4.372 1.834 3.329
O 2.338 3.514 3.363
O 3.888 3.322 1.320
O 3.311 0.511 1.350
```

---

# 2
A plane-wave DFT calculation with PBE-GGA was carried out for a geometry-optimized Pr2AgRh3O8 structure.

Formation energy without anion corrections: -20.37 eV/f.u.
Space-group type: R3m, No. 160
Volume: 199 Å³ per cell

```
14
Lattice="6.599 0.000 0.000 3.299 5.715 0.000 3.299 1.905 5.275" Properties=species:S:1:pos:R:3 pbc="T T T"
Pr 3.299 1.905 3.548
Pr 6.599 3.810 2.479
Ag 9.898 5.715 2.106
Rh 6.599 5.712 0.013
Rh 8.246 2.859 0.013
Rh 4.952 2.859 0.013
O 3.299 1.905 1.026
O 9.898 5.715 4.341
O 5.138 2.966 4.221
O 8.060 2.966 4.221
O 6.599 5.497 4.221
O 6.599 2.007 0.976
O 5.038 4.711 0.976
O 8.160 4.711 0.976
```

---

# 3
A plane-wave DFT calculation with PBE-GGA was carried out for a geometry-optimized PrAgRu2O8 structure.

Formation energy without anion corrections: -13.58 eV/f.u.
Space-group type: P-3m1, No. 164
Volume: 219 Å³ per cell

```
12
Lattice="-0.118 -2.152 5.709 5.343 1.002 -2.773 0.052 6.339 2.391" Properties=species:S:1:pos:R:3 pbc="T T T"
Pr 0.026 3.170 1.195
Ag 0.000 0.000 0.000
Ru 1.712 0.065 3.321
Ru 3.565 5.125 2.006
O 3.526 0.411 0.228
O 0.888 1.164 2.132
O 0.830 0.117 4.909
O 1.750 4.778 5.099
O 4.446 5.073 0.418
O 4.388 4.026 3.195
O 1.847 4.585 1.766
O 3.430 0.604 3.561
```

---

# 4
A plane-wave DFT calculation with PBE-GGA was carried out for a geometry-optimized PrAg2SO8 structure.

Formation energy without anion corrections: -7.26 eV/f.u.
Space-group type: P-3m1, No. 164
Volume: 145 Å³ per cell

```
12
Lattice="5.087 0.000 0.000 -2.543 4.405 0.000 0.000 0.000 6.476" Properties=species:S:1:pos:R:3 pbc="T T T"
Pr 0.000 0.000 3.238
Ag 2.543 1.468 0.943
Ag 0.000 2.937 5.533
S 0.000 0.000 0.000
O 2.543 3.077 5.483
O 1.150 0.664 5.483
O 3.936 0.664 5.483
O 0.000 1.328 0.993
O 1.393 3.741 0.993
O -1.393 3.741 0.993
O 2.543 1.468 2.999
O 0.000 2.937 3.477
```